Entry from the Alexandria database: a relaxed VTePCl2 crystal (PBE).

a b c (Å): 4.4593 4.4593 5.3475
angles (deg): 90.00 90.00 90.00
Fractional positions:
V 0.0000 0.0000 0.0000
Te 0.5000 0.5000 0.5000
P 0.0000 0.0000 0.5000
Cl 0.0000 0.5000 0.0000
Cl 0.5000 0.0000 0.0000

Values from the calculation:
* total DFT energy (no corrections): -4.329 eV/atom
* D(E_F): 5.0 states/eV per cell
* energy relative to the elements, uncorrected: -0.057 eV/atom

Entry from the Alexandria database: a relaxed Pm2Nd6Ho3Mg crystal (PBE).

a b c (Å): 6.2513 6.2513 11.8759
angles (deg): 95.04 95.04 120.03
Fractional positions:
Pm 0.1670 0.8330 0.0000
Pm 0.8330 0.1670 0.0000
Nd 0.0856 0.4167 0.7482
Nd 0.2521 0.2521 0.2527
Nd 0.4167 0.0856 0.7482
Nd 0.5833 0.9144 0.2518
Nd 0.7479 0.7479 0.7473
Nd 0.9144 0.5833 0.2518
Ho 0.0000 0.0000 0.5000
Ho 0.3339 0.6661 0.5000
Ho 0.6661 0.3339 0.5000
Mg 0.5000 0.5000 0.0000

Values from the calculation:
* total DFT energy (no corrections): -4.441 eV/atom
* D(E_F): 12.5 states/eV per cell

Entry from the Alexandria database: a relaxed AlPtN3 crystal (PBE).

a b c (Å): 3.9197 3.9197 3.9197
angles (deg): 90.00 90.00 90.00
Fractional positions:
Al 0.0000 0.0000 0.0000
Pt 0.5000 0.5000 0.5000
N 0.0000 0.5000 0.5000
N 0.5000 0.0000 0.5000
N 0.5000 0.5000 0.0000

Values from the calculation:
* total DFT energy (no corrections): -5.252 eV/atom
* D(E_F): 2.8 states/eV per cell
* energy relative to the elements, uncorrected: 1.700 eV/atom

Entry from the Alexandria database: a relaxed CaFe2Pt crystal (PBE).

a b c (Å): 3.3962 3.3962 6.3565
angles (deg): 90.00 90.00 90.00
Fractional positions:
Ca 0.0000 0.0000 0.0000
Fe 0.5000 0.5000 0.3263
Fe 0.5000 0.5000 0.6737
Pt 0.0000 0.0000 0.5000

Values from the calculation:
* total DFT energy (no corrections): -6.078 eV/atom
* D(E_F): 3.7 states/eV per cell

The highest total DFT energy (no corrections) belongs to which entry?
VTePCl2

Among the records above, which one has the lowest total DFT energy (no corrections)?
CaFe2Pt